1.
This record from the Alexandria database describes a relaxed structure of AcAsIr. The functional is PBE.

Output
crystal system: triclinic
excess energy over the best structure of this formula in the dataset: 2.65 kcal/mol of atoms
total magnetic moment: 0.00 μB per atom
space-group type: P-1 (2)
formation energy: -814 meV per atom

Cell lengths 6.822, 6.827, 7.646 Å; angles 69.55, 70.28, 83.14 degrees
Element x y z (fractional)
Ac: 0.132 0.263 0.185
Ac: 0.332 0.234 0.640
Ac: 0.668 0.766 0.360
Ac: 0.868 0.737 0.815
As: 0.173 0.755 0.383
As: 0.379 0.730 0.810
As: 0.621 0.270 0.190
As: 0.827 0.245 0.617
Ir: 0.112 0.841 0.059
Ir: 0.437 0.597 0.160
Ir: 0.563 0.403 0.840
Ir: 0.888 0.159 0.941

2.
This record from the Alexandria database describes a relaxed structure of Ba2PaIn3Te6. The functional is PBE.

Output
crystal system: monoclinic
energy relative to the elements, uncorrected: -0.904 eV per atom
total magnetic moment: 0.00 μB per atom
space-group type: C2/m (12)

Cell lengths 8.335, 8.335, 8.365 Å; angles 99.41, 99.41, 119.79 degrees
Element x y z (fractional)
Ba: 0.167 0.833 0.000
Ba: 0.833 0.167 0.000
Pa: 0.500 0.500 0.000
In: 0.000 0.000 0.500
In: 0.338 0.662 0.500
In: 0.662 0.338 0.500
Te: 0.134 0.423 0.770
Te: 0.287 0.287 0.238
Te: 0.423 0.134 0.770
Te: 0.577 0.866 0.230
Te: 0.713 0.713 0.762
Te: 0.866 0.577 0.230

3.
This record from the Alexandria database describes a relaxed structure of Ca2AlZn3Ag12. The functional is PBE.

Output
crystal system: trigonal
total magnetic moment: 0.00 μB per atom
space-group type: R-3m (166)
formation energy: 60 meV per atom

Cell lengths 10.156, 10.156, 10.156 Å; angles 40.19, 40.19, 40.19 degrees
Element x y z (fractional)
Ca: 0.148 0.148 0.148
Ca: 0.852 0.852 0.852
Al: 0.500 0.500 0.500
Zn: 0.000 0.500 0.500
Zn: 0.500 0.000 0.500
Zn: 0.500 0.500 0.000
Ag: 0.086 0.086 0.689
Ag: 0.086 0.689 0.086
Ag: 0.140 0.581 0.581
Ag: 0.311 0.914 0.914
Ag: 0.419 0.419 0.860
Ag: 0.419 0.860 0.419
Ag: 0.581 0.140 0.581
Ag: 0.581 0.581 0.140
Ag: 0.689 0.086 0.086
Ag: 0.860 0.419 0.419
Ag: 0.914 0.311 0.914
Ag: 0.914 0.914 0.311